Crystalline La2NdDy2 at its relaxed geometry, computed with PBE.

Values from the calculation:
Total moment, μB per formula unit: 0.0
N(E_F), states/eV/cell: 16.47
Total energy, eV per atom: -4.325
Energy relative to the elements, eV per atom: 0.441

Cell: 10.7003 10.7003 8.2187 Å, 130.61 130.61 90.00°
Element x y z (fractional)
La1 0.8907 0.3907 0.0000
La2 0.1093 0.6093 0.0000
La3 0.6093 0.8907 0.0000
La4 0.3907 0.1093 0.0000
Nd1 0.7500 0.7500 0.5000
Nd2 0.2500 0.2500 0.5000
Dy1 0.3107 0.8107 0.0000
Dy2 0.6893 0.1893 0.0000
Dy3 0.1893 0.3107 0.0000
Dy4 0.8107 0.6893 0.0000


Crystalline LuReRuW at its relaxed geometry, computed with PBE.

Values from the calculation:
Total moment, μB per formula unit: 0.0
N(E_F), states/eV/cell: 1.17
Total energy, eV per atom: -9.887
Energy relative to the elements, eV per atom: -0.087

Cell: 4.5481 4.5481 4.5481 Å, 60.00 60.00 60.00°
Element x y z (fractional)
Re1 0.5000 0.5000 0.5000
Lu1 0.2500 0.2500 0.2500
W1 0.7500 0.7500 0.7500
Ru1 0.0000 0.0000 0.0000


Question: Which formula does entry 2 have?
Answer: LuReRuW


Repeat the first record exactly.
Crystalline La2NdDy2 at its relaxed geometry, computed with PBE.

Values from the calculation:
Total moment, μB per formula unit: 0.0
N(E_F), states/eV/cell: 16.47
Total energy, eV per atom: -4.325
Energy relative to the elements, eV per atom: 0.441

Cell: 10.7003 10.7003 8.2187 Å, 130.61 130.61 90.00°
Element x y z (fractional)
La1 0.8907 0.3907 0.0000
La2 0.1093 0.6093 0.0000
La3 0.6093 0.8907 0.0000
La4 0.3907 0.1093 0.0000
Nd1 0.7500 0.7500 0.5000
Nd2 0.2500 0.2500 0.5000
Dy1 0.3107 0.8107 0.0000
Dy2 0.6893 0.1893 0.0000
Dy3 0.1893 0.3107 0.0000
Dy4 0.8107 0.6893 0.0000